No. 1
VASP calculation (PBE-GGA) on a geometry-optimized Na4SnBi4 structure.

Calculated values
Formation energy from the elements   -153.3 meV per atom
DOS at the Fermi energy   4.3 states/eV/cell
Volume   274.75 Å³/f.u.
Calculated density   6.3 g/cm³
Final energy   -2.909 eV/atom

```
Na4SnBi4
1.0
-5.335 5.335 2.413
5.335 -5.335 2.413
5.335 5.335 -2.413
Na Sn Bi
4 1 4
Direct
0.000 0.315 0.315 Na
0.000 0.685 0.685 Na
0.315 0.000 0.315 Na
0.685 0.000 0.685 Na
0.000 0.000 0.000 Sn
0.336 0.336 0.671 Bi
0.336 0.664 0.000 Bi
0.664 0.336 0.000 Bi
0.664 0.664 0.329 Bi
```

No. 2
VASP calculation (PBE-GGA) on a geometry-optimized Ga2AgPb2 structure.

Calculated values
Formation energy from the elements   63.6 meV per atom
DOS at the Fermi energy   6.0 states/eV/cell
Volume   120.74 Å³/f.u.
Calculated density   9.1 g/cm³
Final energy   -3.201 eV/atom

```
Ga2AgPb2
1.0
6.947 0.000 0.000
0.000 6.947 0.000
0.000 0.000 5.003
Ga Ag Pb
4 2 4
Direct
0.135 0.365 0.000 Ga
0.365 0.865 0.000 Ga
0.635 0.135 0.000 Ga
0.865 0.635 0.000 Ga
0.000 0.000 0.000 Ag
0.500 0.500 0.000 Ag
0.175 0.675 0.500 Pb
0.325 0.175 0.500 Pb
0.675 0.825 0.500 Pb
0.825 0.325 0.500 Pb
```

No. 3
VASP calculation (PBE-GGA) on a geometry-optimized CsAlTe2Ir structure.

Calculated values
DOS at the Fermi energy   5.5 states/eV/cell
Volume   153.06 Å³/f.u.
Calculated density   6.6 g/cm³
Final energy   -4.034 eV/atom
Formation energy from raw total energies   -0.086 eV/atom

```
CsAlTe2Ir
1.0
5.628 0.000 0.000
0.000 5.628 0.000
0.000 0.000 4.833
Cs Al Te Ir
1 1 2 1
Direct
0.000 0.000 0.000 Cs
0.500 0.500 0.000 Al
0.000 0.500 0.500 Te
0.500 0.000 0.500 Te
0.500 0.500 0.500 Ir
```

No. 4
VASP calculation (PBE-GGA) on a geometry-optimized Rb2Be2Si2O7 structure.

Calculated values
DOS at the Fermi energy   0.0 states/eV/cell
Volume   198.01 Å³/f.u.
Calculated density   3.0 g/cm³
Final energy   -6.829 eV/atom
Formation energy from raw total energies   -2.602 eV/atom

```
Rb2Be2Si2O7
1.0
5.191 0.000 0.000
0.000 8.471 0.000
0.000 0.000 9.005
Rb Be Si O
4 4 4 14
Direct
0.000 0.000 0.000 Rb
0.000 0.500 0.062 Rb
0.500 0.000 0.562 Rb
0.500 0.500 0.500 Rb
0.004 0.241 0.372 Be
0.496 0.741 0.872 Be
0.504 0.259 0.872 Be
0.996 0.759 0.372 Be
0.003 0.305 0.702 Si
0.497 0.805 0.202 Si
0.503 0.195 0.202 Si
0.997 0.695 0.702 Si
0.000 0.500 0.689 O
0.075 0.237 0.538 O
0.218 0.252 0.254 O
0.220 0.254 0.824 O
0.280 0.754 0.324 O
0.282 0.752 0.754 O
0.425 0.737 0.038 O
0.500 0.000 0.189 O
0.575 0.263 0.038 O
0.718 0.248 0.754 O
0.720 0.246 0.324 O
0.780 0.746 0.824 O
0.782 0.748 0.254 O
0.925 0.763 0.538 O
```

No. 5
VASP calculation (PBE-GGA) on a geometry-optimized PmDyCdCo structure.

Calculated values
Formation energy from the elements   -205.4 meV per atom
DOS at the Fermi energy   3.0 states/eV/cell
Volume   93.45 Å³/f.u.
Calculated density   8.5 g/cm³
Final energy   -4.549 eV/atom

```
PmDyCdCo
1.0
3.470 0.000 0.000
0.000 3.470 0.000
0.000 0.000 7.761
Pm Dy Cd Co
1 1 1 1
Direct
0.000 0.000 0.000 Pm
0.000 0.000 0.575 Dy
0.500 0.500 0.297 Cd
0.500 0.500 0.777 Co
```

No. 6
VASP calculation (PBE-GGA) on a geometry-optimized K3Tm3AsO8 structure.

Calculated values
DOS at the Fermi energy   1.9 states/eV/cell
Volume   242.65 Å³/f.u.
Calculated density   5.7 g/cm³
Final energy   -6.533 eV/atom
Formation energy from raw total energies   -2.465 eV/atom

```
K3Tm3AsO8
1.0
3.335 1.925 6.299
-3.335 1.925 6.299
0.000 -3.851 6.299
K Tm As O
3 3 1 8
Direct
0.000 0.500 0.500 K
0.500 0.000 0.500 K
0.500 0.500 0.000 K
0.000 0.000 0.500 Tm
0.000 0.500 0.000 Tm
0.500 0.000 0.000 Tm
0.500 0.500 0.500 As
0.226 0.226 0.226 O
0.252 0.710 0.710 O
0.290 0.290 0.748 O
0.290 0.748 0.290 O
0.710 0.252 0.710 O
0.710 0.710 0.252 O
0.748 0.290 0.290 O
0.774 0.774 0.774 O
```

No. 7
VASP calculation (PBE-GGA) on a geometry-optimized Pr2AgSe structure.

Calculated values
DOS at the Fermi energy   3.4 states/eV/cell
Volume   117.51 Å³/f.u.
Calculated density   6.6 g/cm³
Final energy   -4.839 eV/atom
Formation energy from raw total energies   -0.865 eV/atom

```
Pr2AgSe
1.0
2.084 1.203 7.813
-2.084 1.203 7.813
0.000 -2.406 7.813
Pr Ag Se
2 1 1
Direct
0.000 0.000 0.000 Pr
0.166 0.166 0.166 Pr
0.582 0.582 0.582 Ag
0.751 0.751 0.751 Se
```

No. 8
VASP calculation (PBE-GGA) on a geometry-optimized CoBi3Se structure.

Calculated values
DOS at the Fermi energy   3.6 states/eV/cell
Volume   134.05 Å³/f.u.
Calculated density   9.5 g/cm³
Final energy   -4.124 eV/atom
Formation energy from raw total energies   0.323 eV/atom

```
CoBi3Se
1.0
5.118 0.000 0.000
0.000 5.118 0.000
0.000 0.000 5.118
Co Bi Se
1 3 1
Direct
0.000 0.000 0.000 Co
0.000 0.000 0.500 Bi
0.000 0.500 0.000 Bi
0.500 0.000 0.000 Bi
0.500 0.500 0.500 Se
```